1.
CdTcPt2 PBE relaxed; N(E_F) = 1.283 states/eV per atom; M_tot = 0.00 μB per cell; energy relative to the elements = 0.046 eV per atom
1.0
9.2616 0.0000 0.0000
0.0000 2.7819 0.0000
-0.7266 0.0000 5.0620
Cd Tc Pt
2 2 4
Cartesian
0.0000 0.0000 0.0000
4.6308 1.3909 0.0000
-0.3633 1.3909 2.5310
4.2675 0.0000 2.5310
1.7254 0.0000 3.7096
2.1788 1.3909 1.3524
6.3561 1.3909 3.7096
6.8096 0.0000 1.3524



2.
Cd2TcPt PBE relaxed; N(E_F) = 0.460 states/eV per atom; M_tot = 4.95 μB per cell; offset from the most stable computed form = 192.9 meV/atom; energy relative to the elements = 0.225 eV per atom
1.0
4.2862 0.0000 0.0000
0.0000 4.2862 0.0000
0.0000 0.0000 7.7474
Cd Tc Pt
4 2 2
Cartesian
0.0000 0.0000 0.0000
0.0000 2.1431 1.9369
2.1431 0.0000 5.8106
2.1431 2.1431 3.8737
0.0000 0.0000 3.8737
2.1431 2.1431 0.0000
0.0000 2.1431 5.8106
2.1431 0.0000 1.9369



3.
Cd2TcPt PBE relaxed; N(E_F) = 0.659 states/eV per atom; M_tot = 10.23 μB per cell; offset from the most stable computed form = 559.5 meV/atom; energy relative to the elements = 0.592 eV per atom
1.0
7.5637 0.0000 0.0000
0.0000 7.5637 0.0000
0.0000 0.0000 5.5126
Cd Tc Pt
8 4 4
Cartesian
1.8272 1.8909 0.6891
1.8909 5.6091 2.0672
1.8909 5.7365 4.8235
1.9546 1.8909 3.4454
5.6091 5.6728 3.4454
5.6728 1.8272 4.8235
5.6728 1.9546 2.0672
5.7365 5.6728 0.6891
0.0000 0.0000 2.7563
0.0000 3.7819 4.1345
3.7819 0.0000 1.3782
3.7819 3.7819 0.0000
0.0000 0.0000 0.0000
0.0000 3.7819 1.3782
3.7819 0.0000 4.1345
3.7819 3.7819 2.7563



4.
Cd2TcPt PBE relaxed; N(E_F) = 0.740 states/eV per atom; M_tot = 0.69 μB per cell; offset from the most stable computed form = 138.2 meV/atom; energy relative to the elements = 0.171 eV per atom
1.0
2.8543 0.0000 0.0000
0.0000 2.8543 0.0000
0.0000 0.0000 8.5381
Cd Tc Pt
2 1 1
Cartesian
0.0000 0.0000 2.0955
0.0000 0.0000 6.4426
1.4271 1.4271 4.2690
1.4271 1.4271 0.0000



5.
Cd2TcPt PBE relaxed; N(E_F) = 0.891 states/eV per atom; M_tot = 8.95 μB per cell; offset from the most stable computed form = 250.2 meV/atom; energy relative to the elements = 0.283 eV per atom
1.0
6.5692 0.0000 0.0000
0.0000 6.5692 0.0000
0.0000 0.0000 6.5692
Cd Tc Pt
8 4 4
Cartesian
1.6423 1.6423 1.6423
1.6423 1.6423 4.9269
1.6423 4.9269 1.6423
1.6423 4.9269 4.9269
4.9269 1.6423 1.6423
4.9269 1.6423 4.9269
4.9269 4.9269 1.6423
4.9269 4.9269 4.9269
0.0000 0.0000 0.0000
0.0000 3.2846 3.2846
3.2846 0.0000 3.2846
3.2846 3.2846 0.0000
0.0000 0.0000 3.2846
0.0000 3.2846 0.0000
3.2846 0.0000 0.0000
3.2846 3.2846 3.2846



6.
Cd2TcPt PBE relaxed; N(E_F) = 0.777 states/eV per atom; M_tot = 0.26 μB per cell; offset from the most stable computed form = 183.1 meV/atom; energy relative to the elements = 0.216 eV per atom
1.0
2.7850 0.0000 0.0000
0.0000 4.7505 0.0000
-0.3488 0.0000 5.2511
Cd Tc Pt
2 1 1
Cartesian
0.5165 0.0000 1.3073
1.9197 0.0000 3.9438
1.3925 2.3752 0.0000
-0.1744 2.3752 2.6255



Number 1: raw total energy -5.795 eV/atom. Number 2: raw total energy -4.334 eV/atom. Number 3: raw total energy -3.967 eV/atom. Number 4: raw total energy -4.389 eV/atom. Number 5: raw total energy -4.277 eV/atom. Number 6: raw total energy -4.344 eV/atom.